Nd2ZnPt5Rh2 | PBE | optimized geometry

## Properties
- DFT formation energy: -641 meV per atom
- Calculated total energy: -6.212 eV/atom
- Space-group type: P4/mbm

Cell lengths 4.0950, 9.4876, 9.4876 Å; angles 90.00, 90.00, 90.00 degrees
Fractional coordinates of all 20 atoms:
Zn 0.0000 0.0000 0.0000
Zn 0.0000 0.5000 0.5000
Pt 0.5000 0.1985 0.0597
Pt 0.5000 0.4403 0.3015
Pt 0.5000 0.9403 0.1985
Pt 0.5000 0.0597 0.8015
Pt 0.5000 0.5000 0.0000
Pt 0.5000 0.3015 0.5597
Pt 0.5000 0.0000 0.5000
Pt 0.5000 0.5597 0.6985
Pt 0.5000 0.8015 0.9403
Pt 0.5000 0.6985 0.4403
Rh 0.0000 0.3721 0.1279
Rh 0.0000 0.8721 0.3721
Rh 0.0000 0.6279 0.8721
Rh 0.0000 0.1279 0.6279
Nd 0.0000 0.3285 0.8285
Nd 0.0000 0.1715 0.3285
Nd 0.0000 0.6715 0.1715
Nd 0.0000 0.8285 0.6715

Pm2Rh2Au | PBE | optimized geometry

## Properties
- DFT formation energy: -728 meV per atom
- Calculated total energy: -6.224 eV/atom
- Polymorph energy (0 for the lowest one): 0.000 eV/atom
- Space-group type: P4/mbm

Cell lengths 3.8972, 7.4470, 7.4470 Å; angles 90.00, 90.00, 90.00 degrees
Fractional coordinates of all 10 atoms:
Pm 0.5000 0.8268 0.3268
Pm 0.5000 0.3268 0.1732
Pm 0.5000 0.6732 0.8268
Pm 0.5000 0.1732 0.6732
Au 0.0000 0.5000 0.5000
Au 0.0000 0.0000 0.0000
Rh 0.0000 0.6315 0.1315
Rh 0.0000 0.3685 0.8685
Rh 0.0000 0.8685 0.6315
Rh 0.0000 0.1315 0.3685

TiInCl3 | PBE | optimized geometry

## Properties
- Calculated total energy: -4.426 eV/atom
- Polymorph energy (0 for the lowest one): 0.000 eV/atom
- Space-group type: Pnma
- Uncorrected formation energy: -1.191 eV/atom

Cell lengths 3.3715, 8.9107, 15.9557 Å; angles 90.00, 90.00, 90.00 degrees
Fractional coordinates of all 20 atoms:
Ti 0.7500 0.8895 0.0414
Ti 0.7500 0.3895 0.4586
Ti 0.2500 0.1105 0.9586
Ti 0.2500 0.6105 0.5414
In 0.7500 0.0039 0.6677
In 0.2500 0.4961 0.1677
In 0.7500 0.5039 0.8323
In 0.2500 0.9961 0.3323
Cl 0.7500 0.3097 0.9928
Cl 0.7500 0.4435 0.6091
Cl 0.7500 0.7655 0.1883
Cl 0.7500 0.8097 0.5072
Cl 0.2500 0.2345 0.8117
Cl 0.7500 0.2655 0.3117
Cl 0.2500 0.6903 0.0072
Cl 0.7500 0.9435 0.8909
Cl 0.2500 0.1903 0.4928
Cl 0.2500 0.5565 0.3909
Cl 0.2500 0.0565 0.1091
Cl 0.2500 0.7345 0.6883

Magnetic moment for every record listed, in sequence, given in Bohr magnetons per cell: 0.000, 0.000, 0.000.